1.
A geometry-optimized Ba2GeIrF structure, computed with GGA-PBE.

Cell and atoms, written as POSCAR:
```
Ba2GeIrF
1.0
6.138 0.000 0.000
0.000 4.162 0.000
0.000 0.000 6.138
Ba Ge Ir F
2 1 1 1
Direct
0.000 0.000 0.500 Ba
0.500 0.000 0.000 Ba
0.000 0.000 0.000 Ge
0.500 0.500 0.500 Ir
0.000 0.500 0.000 F
```

Output
The space group is No. 123. The raw formation energy comes out at -0.172 eV per atom. As for the density: 5.9 g/cm³. Its size of the total moment is 0.000 μB/atom.

---

2.
A geometry-optimized La2HoEr2Tm structure, computed with GGA-PBE.

Cell and atoms, written as POSCAR:
```
La2HoEr2Tm
1.0
5.667 0.000 0.000
0.000 7.040 0.000
0.000 0.000 9.820
Ho Er Tm La
2 4 2 4
Direct
0.500 0.757 0.343 Ho
0.500 0.257 0.657 Ho
0.000 0.258 0.833 Er
0.000 0.758 0.167 Er
0.500 0.257 0.335 Er
0.500 0.757 0.665 Er
0.000 0.007 0.500 Tm
0.000 0.507 0.500 Tm
0.000 0.758 0.820 La
0.500 0.008 0.000 La
0.500 0.508 0.000 La
0.000 0.258 0.180 La
```

Output
The space group is No. 51. For the calculated formation energy, the calculation gives 72.7 meV/atom. As for the density: 8.0 g/cm³. Its size of the total moment is 0.000 μB/atom.

---

3.
A geometry-optimized Sm2Y7Ho3 structure, computed with GGA-PBE.

Cell and atoms, written as POSCAR:
```
Sm2Y7Ho3
1.0
3.522 0.000 0.000
0.000 6.312 0.756
0.000 2.412 17.808
Y Ho Sm
7 3 2
Direct
0.500 0.242 0.502 Y
0.000 0.440 0.836 Y
0.500 0.758 0.498 Y
0.500 0.059 0.168 Y
0.000 0.560 0.164 Y
0.000 0.000 0.000 Y
0.500 0.941 0.832 Y
0.000 0.110 0.342 Ho
0.500 0.500 0.000 Ho
0.000 0.890 0.658 Ho
0.500 0.387 0.673 Sm
0.500 0.613 0.327 Sm
```

Output
The value obtained for the polymorph energy (0 for the lowest one) is 0.000 eV/atom. The space group is No. 10. For the calculated formation energy, the calculation gives 79.7 meV/atom. As for the density: 6.0 g/cm³. Its size of the total moment is 0.000 μB/atom.